Compound: V2CoSiO
Source: the Alexandria database
Functional: PBE+U
Structure: relaxed

energy above the most stable polymorph in this dataset = 0.000 eV/atom
crystal system = tetragonal

a = 4.776 Å, b = 4.115 Å, c = 4.776 Å
α = 90.00°, β = 90.00°, γ = 90.00°
Each line ends with the local moment (μB).
Positions (direct):
Co 0.000 0.500 0.000  -1.67
V 0.000 0.000 0.500  2.69
V 0.500 0.000 0.000  2.48
O 0.500 0.500 0.500  -0.45
Si 0.000 0.000 0.000  -0.13